No. 1
This record from the Alexandria database describes a relaxed structure of LaBeIr4. The functional is PBE.

```
data_LaBeIr4
_symmetry_space_group_name_H-M 'F -4 3 m'
_symmetry_Int_Tables_number 216
_symmetry_space_group_name_Hall 'F -4 2 3'
_cell_length_a 7.515
_cell_length_b 7.515
_cell_length_c 7.515
_cell_angle_alpha 90.00
_cell_angle_beta 90.00
_cell_angle_gamma 90.00
loop_
_atom_site_label
_atom_site_fract_x
_atom_site_fract_y
_atom_site_fract_z
_atom_site_occupancy
La1 0.000 0.000 0.000 1
Be1 0.250 0.250 0.750 1
Ir1 0.124 0.124 0.376 1
```

Summary:
total energy = -7.412 eV per atom
density = 14.3 g/cm³
formation enthalpy at 0 K = -0.0627 eV/atom

***

No. 2
This record from the Alexandria database describes a relaxed structure of LiGaTc. The functional is PBE.

```
data_LiGaTc
_symmetry_space_group_name_H-M 'C 1 2/m 1'
_symmetry_Int_Tables_number 12
_symmetry_space_group_name_Hall '-C 2y'
_cell_length_a 9.026
_cell_length_b 4.173
_cell_length_c 5.253
_cell_angle_alpha 90.00
_cell_angle_beta 120.73
_cell_angle_gamma 90.00
loop_
_atom_site_label
_atom_site_fract_x
_atom_site_fract_y
_atom_site_fract_z
_atom_site_occupancy
Li1 0.000 0.000 0.000 1
Li2 0.000 0.000 0.500 1
Ga1 0.151 0.500 0.323 1
Tc1 0.188 0.500 0.854 1
```

Summary:
total energy = -5.249 eV per atom
density = 6.8 g/cm³
formation enthalpy at 0 K = -0.1466 eV/atom

***

No. 3
This record from the Alexandria database describes a relaxed structure of PmHo4. The functional is PBE.

```
data_PmHo4
_symmetry_space_group_name_H-M 'C 1 2/m 1'
_symmetry_Int_Tables_number 12
_symmetry_space_group_name_Hall '-C 2y'
_cell_length_a 6.148
_cell_length_b 3.552
_cell_length_c 14.568
_cell_angle_alpha 90.00
_cell_angle_beta 97.97
_cell_angle_gamma 90.00
loop_
_atom_site_label
_atom_site_fract_x
_atom_site_fract_y
_atom_site_fract_z
_atom_site_occupancy
Pm1 0.000 0.000 0.000 1
Ho1 0.099 0.500 0.797 1
Ho2 0.200 0.000 0.599 1
```

Summary:
total energy = -4.593 eV per atom
density = 8.5 g/cm³
formation enthalpy at 0 K = 0.0190 eV/atom

***

No. 4
This record from the Alexandria database describes a relaxed structure of La2NdSmTe5. The functional is PBE.

```
data_La2NdSmTe5
_symmetry_space_group_name_H-M 'P 4/m m m'
_symmetry_Int_Tables_number 123
_symmetry_space_group_name_Hall '-P 4 2'
_cell_length_a 5.609
_cell_length_b 5.609
_cell_length_c 11.870
_cell_angle_alpha 90.00
_cell_angle_beta 90.00
_cell_angle_gamma 90.00
loop_
_atom_site_label
_atom_site_fract_x
_atom_site_fract_y
_atom_site_fract_z
_atom_site_occupancy
La1 0.000 0.000 0.165 1
Nd1 0.500 0.500 0.500 1
Sm1 0.500 0.500 0.000 1
Te1 0.000 0.000 0.500 1
Te2 0.000 0.500 0.000 1
Te3 0.500 0.500 0.253 1
```

Summary:
energy relative to the elements, uncorrected = -21.419 kcal/mol of atoms
total energy = -4.823 eV per atom
density = 5.4 g/cm³

***

No. 5
This record from the Alexandria database describes a relaxed structure of La2NdRu. The functional is PBE.

```
data_La2NdRu
_symmetry_space_group_name_H-M 'P 4/m m m'
_symmetry_Int_Tables_number 123
_symmetry_space_group_name_Hall '-P 4 2'
_cell_length_a 3.569
_cell_length_b 3.569
_cell_length_c 9.555
_cell_angle_alpha 90.00
_cell_angle_beta 90.00
_cell_angle_gamma 90.00
loop_
_atom_site_label
_atom_site_fract_x
_atom_site_fract_y
_atom_site_fract_z
_atom_site_occupancy
La1 0.000 0.000 0.180 1
Nd1 0.500 0.500 0.500 1
Ru1 0.500 0.500 0.000 1
```

Summary:
total energy = -6.034 eV per atom
density = 7.1 g/cm³
formation enthalpy at 0 K = -0.0596 eV/atom

***

No. 6
This record from the Alexandria database describes a relaxed structure of Cd3NiH. The functional is PBE.

```
data_Cd3NiH
_symmetry_space_group_name_H-M 'P m -3 m'
_symmetry_Int_Tables_number 221
_symmetry_space_group_name_Hall '-P 4 2 3'
_cell_length_a 4.995
_cell_length_b 4.995
_cell_length_c 4.995
_cell_angle_alpha 90.00
_cell_angle_beta 90.00
_cell_angle_gamma 90.00
loop_
_atom_site_label
_atom_site_fract_x
_atom_site_fract_y
_atom_site_fract_z
_atom_site_occupancy
Cd1 0.000 0.000 0.500 1
Ni1 0.000 0.000 0.000 1
H1 0.500 0.500 0.500 1
```

Summary:
total energy = -1.772 eV per atom
density = 5.3 g/cm³

***

No. 7
This record from the Alexandria database describes a relaxed structure of HoSiOs. The functional is PBE.

```
data_HoSiOs
_symmetry_space_group_name_H-M 'I 4/m m m'
_symmetry_Int_Tables_number 139
_symmetry_space_group_name_Hall '-I 4 2'
_cell_length_a 4.136
_cell_length_b 4.136
_cell_length_c 13.459
_cell_angle_alpha 90.00
_cell_angle_beta 90.00
_cell_angle_gamma 90.00
loop_
_atom_site_label
_atom_site_fract_x
_atom_site_fract_y
_atom_site_fract_z
_atom_site_occupancy
Ho1 0.000 0.000 0.153 1
Si1 0.000 0.000 0.392 1
Os1 0.000 0.500 0.000 1
```

Summary:
energy relative to the elements, uncorrected = -16.063 kcal/mol of atoms
total energy = -7.773 eV per atom
density = 11.1 g/cm³

***

No. 8
This record from the Alexandria database describes a relaxed structure of Rb2UCrS6. The functional is PBE.

```
data_Rb2UCrS6
_symmetry_space_group_name_H-M 'I m m m'
_symmetry_Int_Tables_number 71
_symmetry_space_group_name_Hall '-I 2 2'
_cell_length_a 6.972
_cell_length_b 6.986
_cell_length_c 9.871
_cell_angle_alpha 90.00
_cell_angle_beta 90.00
_cell_angle_gamma 90.00
loop_
_atom_site_label
_atom_site_fract_x
_atom_site_fract_y
_atom_site_fract_z
_atom_site_occupancy
Rb1 0.000 0.000 0.250 1
U1 0.000 0.500 0.000 1
Cr1 0.000 0.500 0.500 1
S1 0.000 0.500 0.258 1
S2 0.242 0.258 0.500 1
```

Summary:
energy relative to the elements, uncorrected = -22.512 kcal/mol of atoms
total energy = -5.737 eV per atom
density = 4.5 g/cm³